First-principles (PBE) data for a relaxed Rb2PbAu2I6 crystal, as listed in Alexandria via LeMat-Bulk.

```
Rb2PbAu2I6
1.0
-2.364 4.559 -7.340
3.408 -7.557 -0.324
-9.055 0.066 2.957
I Au Pb Rb
6 2 1 2
Direct
0.340 0.109 0.812
0.242 0.485 0.372
0.660 0.891 0.188
0.231 0.891 0.188
0.758 0.515 0.628
0.769 0.109 0.812
0.010 0.020 0.778
0.990 0.980 0.222
0.500 0.000 0.500
0.720 0.440 0.226
0.280 0.560 0.774
```

Fermi-level density of states = 0.0 states/eV/f.u.
Magnetic moment = 0.00 μB/f.u.
Total DFT energy (no corrections) = -2.6439 eV/atom
Formation energy (no corrections) = -7.6 eV/f.u.
Space-group type = C2/m, No. 12